Computed, not measured: an optimized crystal structure of BaTa2Ni at the PBE level of DFT.

Structure (extended XYZ):
```
4
Lattice="3.193 0.000 0.000 0.000 3.193 0.000 0.000 0.000 8.664" Properties=species:S:1:pos:R:3 pbc="T T T"
Ba 0.000 0.000 0.000
Ta 0.000 0.000 3.764
Ta 1.596 1.596 5.601
Ni 1.596 1.596 2.559
```

- polymorph energy (0 for the lowest one) (meV/atom) = 0
- VASP energy (eV per atom) = -7.44
- spin magnetization (μB/f.u.) = 0.00